No. 1
A relaxed structure of Mg2In2Pd3, computed with PBE-GGA.

Values from the calculation:
total energy	-4.021	eV/atom
N(E_F)	2.23	states/eV per cell

abc: 4.627 4.596 7.663
angles: 89.96 107.28 119.95
Fractional coordinates of all 7 atoms:
Mg (0.258, 0.129, 0.388)
Mg (0.742, 0.871, 0.612)
In (0.774, 0.387, 0.160)
In (0.226, 0.613, 0.840)
Pd (0.000, 0.000, 0.000)
Pd (0.512, 0.257, 0.765)
Pd (0.488, 0.743, 0.235)

=====

No. 2
A relaxed structure of Mg5In4Pd2, computed with PBE-GGA.

Values from the calculation:
total energy	-3.010	eV/atom
N(E_F)	6.15	states/eV per cell

abc: 3.546 7.512 17.226
angles: 90.00 90.00 90.00
Fractional coordinates of all 22 atoms:
Mg (0.000, 0.500, 0.000)
Mg (0.000, 0.000, 0.500)
Mg (0.000, 0.247, 0.221)
Mg (0.000, 0.753, 0.779)
Mg (0.000, 0.747, 0.279)
Mg (0.000, 0.253, 0.721)
Mg (0.000, 0.374, 0.416)
Mg (0.000, 0.626, 0.584)
Mg (0.000, 0.874, 0.084)
Mg (0.000, 0.126, 0.916)
In (0.500, 0.302, 0.565)
In (0.500, 0.698, 0.435)
In (0.500, 0.802, 0.935)
In (0.500, 0.198, 0.065)
In (0.500, 0.424, 0.851)
In (0.500, 0.576, 0.149)
In (0.500, 0.924, 0.649)
In (0.500, 0.076, 0.351)
Pd (0.500, 0.464, 0.304)
Pd (0.500, 0.536, 0.696)
Pd (0.500, 0.964, 0.196)
Pd (0.500, 0.036, 0.804)

=====

No. 3
A relaxed structure of MgInPd2, computed with PBE-GGA.

Values from the calculation:
E above lowest polymorph	457	meV per atom
total energy	-3.890	eV/atom
N(E_F)	2.56	states/eV per cell

abc: 4.156 4.156 9.479
angles: 77.34 77.34 90.00
Fractional coordinates of all 8 atoms:
Mg (0.500, 0.500, 0.000)
Mg (0.250, 0.750, 0.500)
Pd (0.615, 0.125, 0.250)
Pd (0.135, 0.625, 0.250)
Pd (0.375, 0.385, 0.750)
Pd (0.875, 0.865, 0.750)
In (0.000, 0.000, 0.000)
In (0.750, 0.250, 0.500)

=====

No. 4
A relaxed structure of MgIn2Pd8, computed with PBE-GGA.

Values from the calculation:
E above lowest polymorph	35	meV per atom
total energy	-4.833	eV/atom
N(E_F)	5.70	states/eV per cell

abc: 4.069 7.702 7.422
angles: 121.26 105.91 90.00
Fractional coordinates of all 11 atoms:
Mg (0.500, 0.000, 0.000)
In (0.168, 0.668, 0.336)
In (0.832, 0.332, 0.664)
Pd (0.664, 0.909, 0.327)
Pd (0.336, 0.581, 0.673)
Pd (0.161, 0.161, 0.323)
Pd (0.000, 0.258, 0.000)
Pd (0.839, 0.839, 0.677)
Pd (0.664, 0.419, 0.327)
Pd (0.336, 0.091, 0.673)
Pd (0.000, 0.742, 0.000)

=====

No. 5
A relaxed structure of Mg3InPd6, computed with PBE-GGA.

Values from the calculation:
total energy	-4.485	eV/atom
N(E_F)	4.63	states/eV per cell

abc: 4.607 7.696 9.756
angles: 109.46 90.00 90.00
Fractional coordinates of all 20 atoms:
Mg (0.250, 0.531, 0.398)
Mg (0.750, 0.469, 0.602)
Mg (0.250, 0.349, 0.809)
Mg (0.750, 0.651, 0.191)
Mg (0.250, 0.762, 0.007)
Mg (0.750, 0.238, 0.993)
In (0.250, 0.937, 0.618)
In (0.750, 0.063, 0.382)
Pd (0.250, 0.450, 0.101)
Pd (0.750, 0.550, 0.899)
Pd (0.250, 0.148, 0.208)
Pd (0.750, 0.852, 0.792)
Pd (0.250, 0.636, 0.710)
Pd (0.750, 0.364, 0.290)
Pd (0.250, 0.246, 0.515)
Pd (0.750, 0.754, 0.485)
Pd (0.250, 0.841, 0.313)
Pd (0.750, 0.159, 0.687)
Pd (0.250, 0.054, 0.911)
Pd (0.750, 0.946, 0.089)

=====

No. 6
A relaxed structure of Mg2InPd8, computed with PBE-GGA.

Values from the calculation:
E above lowest polymorph	73	meV per atom
total energy	-4.724	eV/atom
N(E_F)	6.01	states/eV per cell

abc: 4.300 6.776 7.394
angles: 117.27 106.90 90.00
Fractional coordinates of all 11 atoms:
Mg (0.196, 0.696, 0.393)
Mg (0.804, 0.304, 0.607)
In (0.500, 0.000, 0.000)
Pd (0.654, 0.869, 0.307)
Pd (0.346, 0.562, 0.692)
Pd (0.155, 0.155, 0.310)
Pd (0.000, 0.299, 0.000)
Pd (0.845, 0.845, 0.690)
Pd (0.654, 0.438, 0.308)
Pd (0.346, 0.131, 0.693)
Pd (0.000, 0.701, 0.000)

=====

No. 7
A relaxed structure of MgIn2Pd2, computed with PBE-GGA.

Values from the calculation:
total energy	-3.753	eV/atom
N(E_F)	1.84	states/eV per cell

abc: 4.129 4.129 6.918
angles: 72.64 72.64 90.00
Fractional coordinates of all 5 atoms:
Mg (0.000, 0.000, 0.000)
Pd (0.395, 0.395, 0.210)
Pd (0.605, 0.605, 0.790)
In (0.750, 0.250, 0.500)
In (0.250, 0.750, 0.500)

=====

No. 8
A relaxed structure of Mg6InPd3, computed with PBE-GGA.

Values from the calculation:
total energy	-3.239	eV/atom
N(E_F)	6.62	states/eV per cell

abc: 6.666 7.582 7.582
angles: 87.66 90.00 90.00
Fractional coordinates of all 20 atoms:
Mg (0.150, 0.675, 0.662)
Mg (0.650, 0.662, 0.675)
Mg (0.392, 0.482, 0.981)
Mg (0.892, 0.981, 0.482)
Mg (0.171, 0.138, 0.862)
Mg (0.630, 0.148, 0.852)
Mg (0.130, 0.852, 0.148)
Mg (0.671, 0.862, 0.138)
Mg (0.392, 0.019, 0.518)
Mg (0.892, 0.518, 0.019)
Mg (0.150, 0.338, 0.325)
Mg (0.650, 0.325, 0.338)
In (0.915, 0.352, 0.648)
In (0.415, 0.648, 0.352)
Pd (0.400, 0.845, 0.871)
Pd (0.900, 0.871, 0.845)
Pd (0.385, 0.369, 0.631)
Pd (0.885, 0.631, 0.369)
Pd (0.900, 0.155, 0.129)
Pd (0.400, 0.129, 0.155)

=====

No. 9
A relaxed structure of Mg5InPd4, computed with PBE-GGA.

Values from the calculation:
total energy	-3.765	eV/atom
N(E_F)	4.52	states/eV per cell

abc: 3.084 3.084 18.347
angles: 90.00 90.00 90.00
Fractional coordinates of all 10 atoms:
Mg (0.500, 0.500, 0.129)
Mg (0.500, 0.500, 0.314)
Mg (0.500, 0.500, 0.500)
Mg (0.500, 0.500, 0.686)
Mg (0.500, 0.500, 0.871)
In (0.000, 0.000, 0.000)
Pd (0.000, 0.000, 0.220)
Pd (0.000, 0.000, 0.407)
Pd (0.000, 0.000, 0.593)
Pd (0.000, 0.000, 0.780)

=====

No. 10
A relaxed structure of Mg2InPd9, computed with PBE-GGA.

Values from the calculation:
total energy	-4.840	eV/atom
N(E_F)	16.99	states/eV per cell

abc: 3.998 3.998 11.924
angles: 90.00 90.00 90.00
Fractional coordinates of all 12 atoms:
Mg (0.000, 0.000, 0.335)
Mg (0.000, 0.000, 0.665)
In (0.000, 0.000, 0.000)
Pd (0.500, 0.500, 0.000)
Pd (0.500, 0.500, 0.336)
Pd (0.500, 0.500, 0.664)
Pd (0.500, 0.000, 0.171)
Pd (0.500, 0.000, 0.500)
Pd (0.500, 0.000, 0.829)
Pd (0.000, 0.500, 0.171)
Pd (0.000, 0.500, 0.500)
Pd (0.000, 0.500, 0.829)

=====

No. 11
A relaxed structure of Mg3In2Pd, computed with PBE-GGA.

Values from the calculation:
E above lowest polymorph	64	meV per atom
total energy	-2.803	eV/atom
N(E_F)	3.25	states/eV per cell

abc: 5.764 6.248 7.720
angles: 90.00 111.92 90.00
Fractional coordinates of all 12 atoms:
Mg (0.735, 0.250, 0.360)
Mg (0.265, 0.750, 0.640)
Mg (0.375, 0.250, 0.640)
Mg (0.625, 0.750, 0.360)
Mg (0.308, 0.250, 0.000)
Mg (0.692, 0.750, 0.000)
In (0.859, 0.000, 0.718)
In (0.141, 0.500, 0.282)
In (0.141, 0.000, 0.282)
In (0.859, 0.500, 0.718)
Pd (0.780, 0.250, 0.000)
Pd (0.220, 0.750, 0.000)

=====

No. 12
A relaxed structure of Mg3In2Pd, computed with PBE-GGA.

Values from the calculation:
E above lowest polymorph	0	meV per atom
total energy	-2.867	eV/atom
N(E_F)	4.89	states/eV per cell

abc: 4.686 7.434 8.776
angles: 80.60 58.79 71.63
Fractional coordinates of all 12 atoms:
Mg (0.381, 0.644, 0.793)
Mg (0.268, 0.000, 0.236)
Mg (0.619, 0.356, 0.207)
Mg (0.975, 0.644, 0.207)
Mg (0.025, 0.356, 0.793)
Mg (0.732, 0.000, 0.764)
In (0.000, 0.000, 0.000)
In (0.500, 0.000, 0.500)
In (0.167, 0.666, 0.500)
In (0.833, 0.334, 0.500)
Pd (0.655, 0.691, 0.000)
Pd (0.345, 0.309, 0.000)

=====

No. 13
A relaxed structure of Mg2InPd2, computed with PBE-GGA.

Values from the calculation:
total energy	-3.588	eV/atom
N(E_F)	1.63	states/eV per cell

abc: 3.992 3.992 6.788
angles: 72.90 72.90 90.00
Fractional coordinates of all 5 atoms:
Mg (0.750, 0.250, 0.500)
Mg (0.250, 0.750, 0.500)
Pd (0.394, 0.394, 0.213)
Pd (0.606, 0.606, 0.787)
In (0.000, 0.000, 0.000)

=====

No. 14
A relaxed structure of Mg5InPd, computed with PBE-GGA.

Values from the calculation:
E above lowest polymorph	0	meV per atom
total energy	-2.551	eV/atom
N(E_F)	1.63	states/eV per cell

abc: 4.655 4.655 13.685
angles: 89.64 89.64 89.90
Fractional coordinates of all 14 atoms:
Mg (0.499, 0.998, 0.396)
Mg (0.002, 0.500, 0.604)
Mg (0.998, 0.499, 0.896)
Mg (0.000, 0.000, 0.250)
Mg (0.500, 0.998, 0.896)
Mg (0.500, 0.002, 0.104)
Mg (0.000, 0.000, 0.750)
Mg (0.002, 0.501, 0.104)
Mg (0.998, 0.500, 0.396)
Mg (0.501, 0.002, 0.604)
In (0.500, 0.500, 0.250)
In (0.500, 0.500, 0.750)
Pd (0.000, 0.000, 0.000)
Pd (0.000, 0.000, 0.500)

=====

No. 15
A relaxed structure of Mg2InPd8, computed with PBE-GGA.

Values from the calculation:
E above lowest polymorph	0	meV per atom
total energy	-4.797	eV/atom
N(E_F)	5.32	states/eV per cell

abc: 4.094 6.273 7.410
angles: 105.20 106.04 90.00
Fractional coordinates of all 11 atoms:
Mg (0.778, 0.347, 0.555)
Mg (0.222, 0.653, 0.445)
In (0.500, 0.000, 0.000)
Pd (0.404, 0.540, 0.808)
Pd (0.680, 0.913, 0.360)
Pd (0.856, 0.806, 0.713)
Pd (0.958, 0.275, 0.916)
Pd (0.144, 0.194, 0.287)
Pd (0.320, 0.087, 0.640)
Pd (0.596, 0.460, 0.192)
Pd (0.042, 0.725, 0.084)

=====

No. 16
A relaxed structure of Mg2In3Pd, computed with PBE-GGA.

Values from the calculation:
total energy	-2.955	eV/atom
N(E_F)	2.57	states/eV per cell

abc: 3.251 4.572 9.107
angles: 90.00 90.00 90.00
Fractional coordinates of all 6 atoms:
Mg (0.000, 0.500, 0.056)
Mg (0.000, 0.000, 0.454)
In (0.500, 0.000, 0.844)
In (0.500, 0.000, 0.171)
In (0.500, 0.500, 0.637)
Pd (0.500, 0.500, 0.339)

=====

No. 17
A relaxed structure of Mg3In2Pd4, computed with PBE-GGA.

Values from the calculation:
total energy	-4.054	eV/atom
N(E_F)	2.87	states/eV per cell

abc: 4.558 4.561 8.713
angles: 89.97 90.00 60.02
Fractional coordinates of all 9 atoms:
Mg (0.334, 0.333, 0.423)
Mg (0.000, 0.000, 0.000)
Mg (0.666, 0.667, 0.577)
In (0.333, 0.334, 0.784)
In (0.667, 0.666, 0.216)
Pd (0.667, 0.667, 0.895)
Pd (0.000, 0.999, 0.334)
Pd (0.000, 0.001, 0.666)
Pd (0.333, 0.333, 0.105)

=====

No. 18
A relaxed structure of Mg4InPd7, computed with PBE-GGA.

Values from the calculation:
total energy	-4.193	eV/atom
N(E_F)	4.36	states/eV per cell

abc: 4.944 8.668 5.865
angles: 79.15 65.07 73.43
Fractional coordinates of all 12 atoms:
Mg (0.589, 0.228, 0.595)
Mg (0.411, 0.772, 0.405)
Mg (0.758, 0.666, 0.819)
Mg (0.242, 0.334, 0.181)
In (0.000, 0.000, 0.000)
Pd (0.788, 0.920, 0.504)
Pd (0.212, 0.080, 0.496)
Pd (0.067, 0.669, 0.198)
Pd (0.933, 0.331, 0.802)
Pd (0.363, 0.521, 0.753)
Pd (0.500, 0.000, 0.000)
Pd (0.637, 0.479, 0.247)

=====

No. 19
A relaxed structure of Mg2In2Pd, computed with PBE-GGA.

Values from the calculation:
E above lowest polymorph	26	meV per atom
total energy	-3.069	eV/atom
N(E_F)	3.42	states/eV per cell

abc: 4.487 4.487 11.551
angles: 101.20 101.20 90.00
Fractional coordinates of all 10 atoms:
Mg (0.821, 0.821, 0.643)
Mg (0.571, 0.071, 0.143)
Mg (0.929, 0.429, 0.857)
Mg (0.179, 0.179, 0.357)
In (0.428, 0.928, 0.856)
In (0.678, 0.678, 0.356)
In (0.322, 0.322, 0.644)
In (0.072, 0.572, 0.144)
Pd (0.500, 0.500, 0.000)
Pd (0.250, 0.750, 0.500)

=====

No. 20
A relaxed structure of Mg6InPd, computed with PBE-GGA.

Values from the calculation:
total energy	-2.400	eV/atom
N(E_F)	3.15	states/eV per cell

abc: 4.404 4.404 8.446
angles: 90.00 90.00 90.00
Fractional coordinates of all 8 atoms:
Mg (0.500, 0.500, 0.000)
Mg (0.500, 0.500, 0.500)
Mg (0.500, 0.000, 0.270)
Mg (0.500, 0.000, 0.730)
Mg (0.000, 0.500, 0.270)
Mg (0.000, 0.500, 0.730)
In (0.000, 0.000, 0.000)
Pd (0.000, 0.000, 0.500)

=====

No. 21
A relaxed structure of Mg3InPd3, computed with PBE-GGA.

Values from the calculation:
total energy	-3.906	eV/atom
N(E_F)	2.94	states/eV per cell

abc: 5.530 5.528 5.530
angles: 109.47 109.48 109.47
Fractional coordinates of all 7 atoms:
Mg (0.500, 0.004, 0.000)
Mg (0.500, 0.504, 0.500)
Mg (0.000, 0.004, 0.500)
In (0.000, 0.503, 0.000)
Pd (0.500, 0.504, 0.000)
Pd (0.500, 0.003, 0.500)
Pd (0.000, 0.504, 0.500)

=====

No. 22
A relaxed structure of MgInPd, computed with PBE-GGA.

Values from the calculation:
total energy	-3.581	eV/atom
N(E_F)	1.41	states/eV per cell

abc: 3.094 4.654 4.654
angles: 120.00 90.00 90.00
Fractional coordinates of all 3 atoms:
Mg (0.667, 0.667, 0.333)
Pd (0.165, 0.333, 0.667)
In (0.168, 0.000, 0.000)